Below is an optimized crystal structure of LaCeIrAu, with properties calculated at the GGA-PBE level.

a = 5.1455 Å, b = 5.1455 Å, c = 5.1455 Å
α = 60.00°, β = 60.00°, γ = 60.00°
With the nearest neighbours (Å) after each atom.
Positions (direct):
La1 0.0000 0.0000 0.0000  4 Ir 3.15, 4 Au 3.15
Ce1 0.5000 0.5000 0.5000  4 Ir 3.15, 4 Au 3.15
Ir1 0.2500 0.2500 0.2500  4 La 3.15, 4 Ce 3.15
Au1 0.7500 0.7500 0.7500  4 La 3.15, 4 Ce 3.15

Formation energy from the elements ... -0.635 eV per atom
DFT total energy ... -6.385 eV per atom
E above lowest polymorph ... 0.093 eV/atom
Calculated density ... 11.5 g/cm3
Space group ... F-43m

Below is an optimized crystal structure of YZrCu2, with properties calculated at the GGA-PBE level.

a = 3.3831 Å, b = 3.3831 Å, c = 6.7624 Å
α = 90.00°, β = 90.00°, γ = 90.00°
With the nearest neighbours (Å) after each atom.
Positions (direct):
Y1 0.0000 0.0000 0.0000  8 Cu 3.06, 2 Zr 3.38, 4 Y 3.38
Zr1 0.0000 0.0000 0.5000  8 Cu 2.81
Cu1 0.5000 0.5000 0.2818  4 Zr 2.81, 1 Cu 2.95, 4 Y 3.06
Cu2 0.5000 0.5000 0.7182  4 Zr 2.81, 1 Cu 2.95, 4 Y 3.06

Formation energy from the elements ... -0.148 eV per atom
DFT total energy ... -5.949 eV per atom
E above lowest polymorph ... 0.000 eV/atom
Calculated density ... 6.6 g/cm3
Space group ... P4/mmm

Below is an optimized crystal structure of PmSm14Cd, with properties calculated at the GGA-PBE level.

a = 7.1713 Å, b = 7.1713 Å, c = 10.2069 Å
α = 90.00°, β = 90.00°, γ = 90.00°
With the nearest neighbours (Å) after each atom.
Positions (direct):
Pm1 0.0000 0.0000 0.0000  12 Sm 3.58-3.59
Sm1 0.0000 0.0000 0.5000  12 Sm 3.59-3.63
Sm2 0.0000 0.5000 0.0000  8 Sm 3.58, 2 Cd 3.59, 2 Pm 3.59
Sm3 0.0000 0.5000 0.5000  12 Sm 3.59-3.62
Sm4 0.2513 0.2513 0.2469  1 Cd 3.57, 10 Sm 3.57-3.63, 1 Pm 3.58
Sm5 0.2513 0.2513 0.7531  1 Cd 3.57, 10 Sm 3.57-3.63, 1 Pm 3.58
Sm6 0.2513 0.7487 0.2469  1 Cd 3.57, 10 Sm 3.57-3.63, 1 Pm 3.58
Sm7 0.2513 0.7487 0.7531  1 Cd 3.57, 10 Sm 3.57-3.63, 1 Pm 3.58
Sm8 0.5000 0.0000 0.0000  8 Sm 3.58, 2 Cd 3.59, 2 Pm 3.59
Sm9 0.5000 0.0000 0.5000  12 Sm 3.59-3.62
Sm10 0.5000 0.5000 0.5000  12 Sm 3.59-3.61
Sm11 0.7487 0.2513 0.2469  1 Cd 3.57, 10 Sm 3.57-3.63, 1 Pm 3.58
Sm12 0.7487 0.2513 0.7531  1 Cd 3.57, 10 Sm 3.57-3.63, 1 Pm 3.58
Sm13 0.7487 0.7487 0.2469  1 Cd 3.57, 10 Sm 3.57-3.63, 1 Pm 3.58
Sm14 0.7487 0.7487 0.7531  1 Cd 3.57, 10 Sm 3.57-3.63, 1 Pm 3.58
Cd1 0.5000 0.5000 0.0000  12 Sm 3.57-3.59

Formation energy from the elements ... -0.008 eV per atom
DFT total energy ... -4.492 eV per atom
Calculated density ... 7.5 g/cm3
Space group ... P4/mmm